a.
# PBE ThZrPt, optimized geometry
# Total magnetization (Bohr magnetons per cell): 0.000
# Density of states at the Fermi level (states/eV/atom): 1.156
# Calculated volume (Å³ per atom): 23.8
data_ThZrPt
_symmetry_space_group_name_H-M 'I m a 2'
_symmetry_Int_Tables_number 46
_symmetry_space_group_name_Hall 'I 2 -2a'
_cell_length_a 7.9930
_cell_length_b 13.7306
_cell_length_c 7.8004
_cell_angle_alpha 90.00
_cell_angle_beta 90.00
_cell_angle_gamma 90.00
loop_
_atom_site_label
_atom_site_fract_x
_atom_site_fract_y
_atom_site_fract_z
Th1 0.2500 0.0051 0.0000
Th2 0.2500 0.2166 0.6256
Th3 0.2500 0.7064 0.1179
Zr1 0.0000 0.0000 0.6532
Zr2 0.0382 0.6180 0.7935
Pt1 0.0008 0.1655 0.9125
Pt2 0.2500 0.0335 0.4190

b.
# PBE ThZrPt, optimized geometry
# Total magnetization (Bohr magnetons per cell): 0.000
# Density of states at the Fermi level (states/eV/atom): 0.837
# Calculated volume (Å³ per atom): 25.5
data_ThZrPt
_symmetry_space_group_name_H-M 'P 3 m 1'
_symmetry_Int_Tables_number 156
_symmetry_space_group_name_Hall 'P 3 -2"'
_cell_length_a 4.5809
_cell_length_b 4.5809
_cell_length_c 4.2032
_cell_angle_alpha 90.00
_cell_angle_beta 90.00
_cell_angle_gamma 120.00
loop_
_atom_site_label
_atom_site_fract_x
_atom_site_fract_y
_atom_site_fract_z
Th1 0.0000 0.0000 0.0000
Zr1 0.3333 0.6667 0.5009
Pt1 0.6667 0.3333 0.4940

c.
# PBE ThZrPt, optimized geometry
# Total magnetization (Bohr magnetons per cell): 0.000
# Density of states at the Fermi level (states/eV/atom): 0.940
# Calculated volume (Å³ per atom): 24.0
data_ThZrPt
_symmetry_space_group_name_H-M 'P 4/n m m'
_symmetry_Int_Tables_number 129
_cell_length_a 4.2974
_cell_length_b 4.2974
_cell_length_c 7.7908
_cell_angle_alpha 90.00
_cell_angle_beta 90.00
_cell_angle_gamma 90.00
loop_
_symmetry_equiv_pos_as_xyz
'x,y,z'
'-x,-y,-z'
'-y+1/2,x,z'
'y+1/2,-x,-z'
'-x+1/2,-y+1/2,z'
'x+1/2,y+1/2,-z'
'y,-x+1/2,z'
'-y,x+1/2,-z'
'x+1/2,-y,-z'
'-x+1/2,y,z'
'-y,-x,-z'
'y,x,z'
'-x,y+1/2,-z'
'x,-y+1/2,z'
'y+1/2,x+1/2,-z'
'-y+1/2,-x+1/2,z'
loop_
_atom_site_label
_atom_site_fract_x
_atom_site_fract_y
_atom_site_fract_z
Th1 0.2500 0.2500 0.1490
Zr1 0.2500 0.7500 0.5000
Pt1 0.2500 0.2500 0.7791

Least stable = b

a.
# PBE Ti3TlPt, optimized geometry
# Total magnetization (Bohr magnetons per cell): 3.970
# Density of states at the Fermi level (states/eV/atom): 1.804
# Calculated volume (Å³ per atom): 24.9
data_Ti3TlPt
_symmetry_space_group_name_H-M 'P m -3 m'
_symmetry_Int_Tables_number 221
_symmetry_space_group_name_Hall '-P 4 2 3'
_cell_length_a 4.9936
_cell_length_b 4.9936
_cell_length_c 4.9936
_cell_angle_alpha 90.00
_cell_angle_beta 90.00
_cell_angle_gamma 90.00
loop_
_atom_site_label
_atom_site_fract_x
_atom_site_fract_y
_atom_site_fract_z
Ti1 0.0000 0.0000 0.5000
Tl1 0.0000 0.0000 0.0000
Pt1 0.5000 0.5000 0.5000

b.
# PBE Ti3TlPt, optimized geometry
# Total magnetization (Bohr magnetons per cell): 0.000
# Density of states at the Fermi level (states/eV/atom): 1.206
# Calculated volume (Å³ per atom): 22.6
data_Ti3TlPt
_symmetry_space_group_name_H-M 'P m -3 m'
_symmetry_Int_Tables_number 221
_symmetry_space_group_name_Hall '-P 4 2 3'
_cell_length_a 4.8310
_cell_length_b 4.8310
_cell_length_c 4.8310
_cell_angle_alpha 90.00
_cell_angle_beta 90.00
_cell_angle_gamma 90.00
loop_
_atom_site_label
_atom_site_fract_x
_atom_site_fract_y
_atom_site_fract_z
Ti1 0.0000 0.0000 0.5000
Tl1 0.5000 0.5000 0.5000
Pt1 0.0000 0.0000 0.0000

Least stable = a

a.
# PBE UTiPt2, optimized geometry
# Total magnetization (Bohr magnetons per cell): 7.070
# Density of states at the Fermi level (states/eV/atom): 1.649
# Calculated volume (Å³ per atom): 19.6
data_UTiPt2
_symmetry_space_group_name_H-M 'R -3 m'
_symmetry_Int_Tables_number 166
_symmetry_space_group_name_Hall '-R 3 2"'
_cell_length_a 4.4250
_cell_length_b 4.4250
_cell_length_c 13.8791
_cell_angle_alpha 90.00
_cell_angle_beta 90.00
_cell_angle_gamma 120.00
loop_
_atom_site_label
_atom_site_fract_x
_atom_site_fract_y
_atom_site_fract_z
U1 0.0000 0.0000 0.0000
Ti1 0.0000 0.0000 0.5000
Pt1 0.0000 0.0000 0.2186

b.
# PBE UTiPt2, optimized geometry
# Total magnetization (Bohr magnetons per cell): 2.596
# Density of states at the Fermi level (states/eV/atom): 1.963
# Calculated volume (Å³ per atom): 18.2
data_UTiPt2
_symmetry_space_group_name_H-M 'P 4/m m m'
_symmetry_Int_Tables_number 123
_symmetry_space_group_name_Hall '-P 4 2'
_cell_length_a 3.1531
_cell_length_b 3.1531
_cell_length_c 7.3199
_cell_angle_alpha 90.00
_cell_angle_beta 90.00
_cell_angle_gamma 90.00
loop_
_atom_site_label
_atom_site_fract_x
_atom_site_fract_y
_atom_site_fract_z
U1 0.0000 0.0000 0.0000
Ti1 0.0000 0.0000 0.5000
Pt1 0.5000 0.5000 0.2926

Least stable = a

a.
# PBE UTi2Pt, optimized geometry
# Total magnetization (Bohr magnetons per cell): 10.385
# Density of states at the Fermi level (states/eV/atom): 1.655
# Calculated volume (Å³ per atom): 17.1
data_UTi2Pt
_symmetry_space_group_name_H-M 'F m -3 m'
_symmetry_Int_Tables_number 225
_symmetry_space_group_name_Hall '-F 4 2 3'
_cell_length_a 6.4976
_cell_length_b 6.4976
_cell_length_c 6.4976
_cell_angle_alpha 90.00
_cell_angle_beta 90.00
_cell_angle_gamma 90.00
loop_
_atom_site_label
_atom_site_fract_x
_atom_site_fract_y
_atom_site_fract_z
U1 0.0000 0.0000 0.0000
Ti1 0.2500 0.2500 0.2500
Pt1 0.0000 0.0000 0.5000

b.
# PBE UTi2Pt, optimized geometry
# Total magnetization (Bohr magnetons per cell): 0.000
# Density of states at the Fermi level (states/eV/atom): 1.733
# Calculated volume (Å³ per atom): 17.2
data_UTi2Pt
_symmetry_space_group_name_H-M 'P 4/m m m'
_symmetry_Int_Tables_number 123
_symmetry_space_group_name_Hall '-P 4 2'
_cell_length_a 2.8482
_cell_length_b 2.8482
_cell_length_c 8.4703
_cell_angle_alpha 90.00
_cell_angle_beta 90.00
_cell_angle_gamma 90.00
loop_
_atom_site_label
_atom_site_fract_x
_atom_site_fract_y
_atom_site_fract_z
U1 0.0000 0.0000 0.0000
Ti1 0.5000 0.5000 0.2757
Pt1 0.0000 0.0000 0.5000

Least stable = a

a.
# PBE TiVPt, optimized geometry
# Total magnetization (Bohr magnetons per cell): 0.001
# Density of states at the Fermi level (states/eV/atom): 1.443
# Calculated volume (Å³ per atom): 15.1
data_TiVPt
_symmetry_space_group_name_H-M 'C m c m'
_symmetry_Int_Tables_number 63
_symmetry_space_group_name_Hall '-C 2c 2'
_cell_length_a 2.7191
_cell_length_b 16.2221
_cell_length_c 4.1150
_cell_angle_alpha 90.00
_cell_angle_beta 90.00
_cell_angle_gamma 90.00
loop_
_atom_site_label
_atom_site_fract_x
_atom_site_fract_y
_atom_site_fract_z
Ti1 0.0000 0.0522 0.2500
V1 0.0000 0.2203 0.2500
Pt1 0.0000 0.3803 0.2500

b.
# PBE TiVPt, optimized geometry
# Total magnetization (Bohr magnetons per cell): 1.196
# Density of states at the Fermi level (states/eV/atom): 1.635
# Calculated volume (Å³ per atom): 14.9
data_TiVPt
_symmetry_space_group_name_H-M 'P 3 m 1'
_symmetry_Int_Tables_number 156
_symmetry_space_group_name_Hall 'P 3 -2"'
_cell_length_a 4.3721
_cell_length_b 4.3721
_cell_length_c 2.7058
_cell_angle_alpha 90.00
_cell_angle_beta 90.00
_cell_angle_gamma 120.00
loop_
_atom_site_label
_atom_site_fract_x
_atom_site_fract_y
_atom_site_fract_z
Ti1 0.0000 0.0000 0.0000
V1 0.3333 0.6667 0.7271
Pt1 0.6667 0.3333 0.3683

c.
# PBE TiVPt, optimized geometry
# Total magnetization (Bohr magnetons per cell): 0.000
# Density of states at the Fermi level (states/eV/atom): 1.144
# Calculated volume (Å³ per atom): 15.1
data_TiVPt
_symmetry_space_group_name_H-M 'I 4 m m'
_symmetry_Int_Tables_number 107
_symmetry_space_group_name_Hall 'I 4 -2'
_cell_length_a 3.1531
_cell_length_b 3.1531
_cell_length_c 9.1201
_cell_angle_alpha 90.00
_cell_angle_beta 90.00
_cell_angle_gamma 90.00
loop_
_atom_site_label
_atom_site_fract_x
_atom_site_fract_y
_atom_site_fract_z
Ti1 0.0000 0.0000 0.0000
V1 0.0000 0.0000 0.3400
Pt1 0.0000 0.0000 0.6733

Least stable = b

a.
# PBE TiVPt3, optimized geometry
# Total magnetization (Bohr magnetons per cell): 1.190
# Density of states at the Fermi level (states/eV/atom): 1.333
# Calculated volume (Å³ per atom): 19.6
data_TiVPt3
_symmetry_space_group_name_H-M 'P m -3 m'
_symmetry_Int_Tables_number 221
_symmetry_space_group_name_Hall '-P 4 2 3'
_cell_length_a 4.6131
_cell_length_b 4.6131
_cell_length_c 4.6131
_cell_angle_alpha 90.00
_cell_angle_beta 90.00
_cell_angle_gamma 90.00
loop_
_atom_site_label
_atom_site_fract_x
_atom_site_fract_y
_atom_site_fract_z
Ti1 0.0000 0.0000 0.0000
V1 0.5000 0.5000 0.5000
Pt1 0.0000 0.5000 0.5000

b.
# PBE TiVPt3, optimized geometry
# Total magnetization (Bohr magnetons per cell): 0.000
# Density of states at the Fermi level (states/eV/atom): 1.146
# Calculated volume (Å³ per atom): 17.3
data_TiVPt3
_symmetry_space_group_name_H-M 'C m c m'
_symmetry_Int_Tables_number 63
_symmetry_space_group_name_Hall '-C 2c 2'
_cell_length_a 6.9247
_cell_length_b 10.7700
_cell_length_c 4.6361
_cell_angle_alpha 90.00
_cell_angle_beta 90.00
_cell_angle_gamma 90.00
loop_
_atom_site_label
_atom_site_fract_x
_atom_site_fract_y
_atom_site_fract_z
Ti1 0.0000 0.1367 0.2500
V1 0.0000 0.5000 0.0000
Pt1 0.0000 0.2920 0.7500
Pt2 0.1966 0.0823 0.7500

c.
# PBE TiVPt3, optimized geometry
# Total magnetization (Bohr magnetons per cell): 6.031
# Density of states at the Fermi level (states/eV/atom): 1.028
# Calculated volume (Å³ per atom): 16.2
data_TiVPt3
_symmetry_space_group_name_H-M 'P n m a'
_symmetry_Int_Tables_number 62
_symmetry_space_group_name_Hall '-P 2ac 2n'
_cell_length_a 6.9102
_cell_length_b 6.9384
_cell_length_c 6.7779
_cell_angle_alpha 90.00
_cell_angle_beta 90.00
_cell_angle_gamma 90.00
loop_
_atom_site_label
_atom_site_fract_x
_atom_site_fract_y
_atom_site_fract_z
Ti1 0.1765 0.2500 0.0802
V1 0.0000 0.0000 0.5000
Pt1 0.1272 0.7500 0.2274
Pt2 0.1412 0.5542 0.8497

Least stable = a